SrCaBr2, relaxed, DFT GGA-PBE; symmetry = Cm, No. 8; ΔE to the lowest computed polymorph = 1 meV per atom; DOS(E_F) = 1.1 states/eV/f.u.
1.0
10.699 -1.949 0.000
10.699 1.949 0.000
-0.380 0.000 3.879
Sr Ca Br
1 1 2
Direct
0.000 0.000 0.000 Sr
0.654 0.654 0.583 Ca
0.220 0.220 0.119 Br
0.426 0.426 0.460 Br